--- one ---
The following is a DFT calculation (PBE) of an optimized crystal structure of Y2Er5Ni2Te2.

Computed properties:
Calculated volume   284 Å³/cell
Spin magnetization   0.01 μB/f.u.

Lattice parameters (Å, degrees): 9.3162 9.3162 9.3162 156.26 67.03 118.35
Closest atoms and distances in Å follow each position.
Element x y z (fractional)
Er (0.4768, 0.4768, 0.0000)  3 Te 3.17-3.20
Er (0.0274, 0.8953, 0.1320)  2 Ni 2.78
Er (0.0998, 0.7464, 0.3534)  2 Ni 2.83, 2 Te 3.14
Er (0.3930, 0.7464, 0.6466)  2 Ni 2.83, 2 Te 3.14
Er (0.7633, 0.8953, 0.8680)  2 Ni 2.78
Ni (0.6428, 0.4041, 0.2387)  4 Er 2.78-2.83, 2 Y 2.79
Ni (0.1655, 0.4041, 0.7613)  4 Er 2.78-2.83, 2 Y 2.79
Te (0.1412, 0.1412, 0.0000)  7 Er 3.12-3.20
Te (0.7418, 0.2418, 0.5000)  6 Er 3.17, 2 Y 3.18
Y (0.4128, 0.0973, 0.3155)  2 Ni 2.79
Y (0.7818, 0.0973, 0.6845)  2 Ni 2.79

--- two ---
The following is a DFT calculation (PBE) of an optimized crystal structure of Y2Er5Ni2Te2.

Computed properties:
Calculated volume   285 Å³/cell
Spin magnetization   0.02 μB/f.u.

Lattice parameters (Å, degrees): 9.3253 9.3253 9.3253 156.27 66.86 118.53
Closest atoms and distances in Å follow each position.
Element x y z (fractional)
Er (0.8948, 0.7477, 0.1471)  2 Ni 2.80
Er (0.2811, 0.0960, 0.1851)  2 Ni 2.76
Er (0.9767, 0.4767, 0.5000)  3 Te 3.16-3.18
Er (0.9109, 0.0960, 0.8149)  2 Ni 2.76
Er (0.6006, 0.7477, 0.8529)  2 Ni 2.80
Ni (0.6683, 0.4049, 0.2634)  4 Er 2.76-2.80, 2 Y 2.81
Ni (0.1415, 0.4049, 0.7366)  4 Er 2.76-2.80, 2 Y 2.81
Te (0.2397, 0.2397, 0.0000)  4 Er 3.16-3.19, 4 Y 3.17
Te (0.6426, 0.1426, 0.5000)  2 Y 3.12, 5 Er 3.15-3.18
Y (0.2636, 0.8950, 0.3686)  2 Ni 2.81, 1 Te 3.12
Y (0.5263, 0.8950, 0.6314)  2 Ni 2.81, 1 Te 3.12

The winner here is two, beating the second structure by 0.009 eV/atom.

--- one ---
The following is a DFT calculation (PBE) of an optimized crystal structure of Y3Er4Ni2Te2.

Computed properties:
Calculated volume   285 Å³/cell
Spin magnetization   0.02 μB/f.u.

Lattice parameters (Å, degrees): 9.3181 9.3181 9.3181 156.20 67.13 118.27
Closest atoms and distances in Å follow each position.
Element x y z (fractional)
Er (0.8946, 0.7475, 0.1472)  2 Ni 2.80
Er (0.2821, 0.0965, 0.1857)  2 Ni 2.77
Er (0.9108, 0.0965, 0.8143)  2 Ni 2.77
Er (0.6003, 0.7475, 0.8528)  2 Ni 2.80
Ni (0.6688, 0.4049, 0.2639)  4 Er 2.77-2.80, 2 Y 2.82
Ni (0.1410, 0.4049, 0.7361)  4 Er 2.77-2.80, 2 Y 2.82
Te (0.2399, 0.2399, 0.0000)  6 Y 3.17, 2 Er 3.19
Te (0.6423, 0.1423, 0.5000)  3 Y 3.12-3.20, 4 Er 3.15
Y (0.2634, 0.8948, 0.3686)  2 Ni 2.82, 1 Te 3.12
Y (0.9767, 0.4767, 0.5000)  3 Te 3.17-3.20
Y (0.5262, 0.8948, 0.6314)  2 Ni 2.82, 1 Te 3.12

--- two ---
The following is a DFT calculation (PBE) of an optimized crystal structure of Y3Er4Ni2Te2.

Computed properties:
Calculated volume   285 Å³/cell
Spin magnetization   0.01 μB/f.u.

Lattice parameters (Å, degrees): 9.3235 9.3235 9.3235 156.24 67.00 118.39
Closest atoms and distances in Å follow each position.
Element x y z (fractional)
Er (0.0273, 0.8953, 0.1320)  2 Ni 2.78
Er (0.0993, 0.7461, 0.3532)  2 Ni 2.83, 2 Te 3.15
Er (0.3929, 0.7461, 0.6468)  2 Ni 2.83, 2 Te 3.15
Er (0.7633, 0.8953, 0.8680)  2 Ni 2.78
Ni (0.6428, 0.4041, 0.2387)  4 Er 2.78-2.83, 2 Y 2.79
Ni (0.1655, 0.4041, 0.7613)  4 Er 2.78-2.83, 2 Y 2.79
Te (0.1410, 0.1410, 0.0000)  6 Er 3.12-3.15, 1 Y 3.21
Te (0.7422, 0.2422, 0.5000)  4 Er 3.17, 4 Y 3.18-3.19
Y (0.4770, 0.4770, 0.0000)  3 Te 3.18-3.21
Y (0.4128, 0.0975, 0.3153)  2 Ni 2.79
Y (0.7821, 0.0975, 0.6847)  2 Ni 2.79

The winner here is one, beating the second structure by 0.009 eV/atom.

--- one ---
The following is a DFT calculation (PBE) of an optimized crystal structure of Y4Er3Ni2Te2.

Computed properties:
Calculated volume   288 Å³/cell
Spin magnetization   0.02 μB/f.u.

Lattice parameters (Å, degrees): 9.3591 9.3591 9.3591 156.29 67.14 118.22
Closest atoms and distances in Å follow each position.
Element x y z (fractional)
Er (0.4761, 0.4761, 0.0000)  3 Te 3.18-3.20
Er (0.1022, 0.7486, 0.3536)  2 Ni 2.80
Er (0.3950, 0.7486, 0.6464)  2 Ni 2.80
Ni (0.6391, 0.4023, 0.2368)  4 Y 2.80-2.82, 2 Er 2.80
Ni (0.1656, 0.4023, 0.7632)  4 Y 2.80-2.82, 2 Er 2.80
Te (0.1428, 0.1428, 0.0000)  2 Y 3.13, 5 Er 3.15-3.20
Te (0.7398, 0.2398, 0.5000)  2 Er 3.18, 6 Y 3.18-3.19
Y (0.0268, 0.8956, 0.1311)  2 Ni 2.82, 1 Te 3.13
Y (0.4125, 0.0971, 0.3153)  2 Ni 2.80
Y (0.7818, 0.0971, 0.6847)  2 Ni 2.80
Y (0.7645, 0.8956, 0.8689)  2 Ni 2.82, 1 Te 3.13

--- two ---
The following is a DFT calculation (PBE) of an optimized crystal structure of Y4Er3Ni2Te2.

Computed properties:
Calculated volume   289 Å³/cell
Spin magnetization   0.04 μB/f.u.

Lattice parameters (Å, degrees): 9.3692 9.3692 9.3692 156.24 66.91 118.49
Closest atoms and distances in Å follow each position.
Element x y z (fractional)
Er (0.4776, 0.4776, 0.0000)  3 Te 3.17-3.22
Er (0.4114, 0.0961, 0.3153)  2 Ni 2.78
Er (0.7807, 0.0961, 0.6847)  2 Ni 2.78
Ni (0.6442, 0.4063, 0.2379)  2 Er 2.78, 4 Y 2.81-2.85
Ni (0.1684, 0.4063, 0.7621)  2 Er 2.78, 4 Y 2.81-2.85
Te (0.1417, 0.1417, 0.0000)  6 Y 3.13-3.15, 1 Er 3.22
Te (0.7402, 0.2402, 0.5000)  4 Er 3.17-3.20, 4 Y 3.18
Y (0.0262, 0.8948, 0.1314)  2 Ni 2.81, 1 Te 3.13
Y (0.0999, 0.7461, 0.3538)  2 Ni 2.85, 2 Te 3.15
Y (0.3924, 0.7461, 0.6462)  2 Ni 2.85, 2 Te 3.15
Y (0.7634, 0.8948, 0.8686)  2 Ni 2.81, 1 Te 3.13

The winner here is two, beating the second structure by 0.009 eV/atom.

--- one ---
The following is a DFT calculation (PBE) of an optimized crystal structure of ErTmNi4.

Computed properties:
Calculated volume   195 Å³/cell
Spin magnetization   0.00 μB/f.u.

Lattice parameters (Å, degrees): 5.3153 5.3153 7.9841 90.00 90.00 120.02
Closest atoms and distances in Å follow each position.
Element x y z (fractional)
Er (0.0000, 0.0000, 0.0000)  18 Ni 3.07-3.23
Er (0.0000, 0.0000, 0.5000)  6 Tm 3.07, 12 Ni 3.42
Ni (0.6667, 0.3333, 0.0000)  6 Ni 2.39
Ni (0.3333, 0.6667, 0.0000)  6 Ni 2.39
Ni (0.5000, 0.0000, 0.2303)  6 Ni 2.39-2.66, 2 Tm 2.64
Ni (0.0000, 0.5000, 0.2303)  6 Ni 2.39-2.66, 2 Tm 2.64
Ni (0.5000, 0.5000, 0.2303)  6 Ni 2.39-2.66, 2 Tm 2.64
Ni (0.5000, 0.0000, 0.7697)  6 Ni 2.39-2.66, 2 Tm 2.64
Ni (0.0000, 0.5000, 0.7697)  6 Ni 2.39-2.66, 2 Tm 2.64
Ni (0.5000, 0.5000, 0.7697)  6 Ni 2.39-2.66, 2 Tm 2.64
Tm (0.6667, 0.3333, 0.5000)  6 Ni 2.64
Tm (0.3333, 0.6667, 0.5000)  6 Ni 2.64

--- two ---
The following is a DFT calculation (PBE) of an optimized crystal structure of ErTmNi4.

Computed properties:
Calculated volume   89 Å³/cell
Spin magnetization   0.00 μB/f.u.

Lattice parameters (Å, degrees): 5.0165 5.0165 5.0165 60.00 60.00 60.00
Closest atoms and distances in Å follow each position.
Element x y z (fractional)
Er (0.0000, 0.0000, 0.0000)  12 Ni 2.94, 4 Tm 3.07
Ni (0.3752, 0.3752, 0.3752)  6 Ni 2.50-2.51
Ni (0.8743, 0.3752, 0.3752)  6 Ni 2.50-2.51
Ni (0.3752, 0.8743, 0.3752)  6 Ni 2.50-2.51
Ni (0.3752, 0.3752, 0.8743)  6 Ni 2.50-2.51
Tm (0.7500, 0.7500, 0.7500)  12 Ni 2.94, 4 Er 3.07

The winner here is two, beating the second structure by 0.425 eV/atom.